(1)
CaSbPb2 | the Alexandria database | PBEsol | relaxed; formation energy from raw total energies = -38.8 kJ/mol of atoms
1.0
4.705 0.000 0.000
0.000 4.705 0.000
0.000 0.000 5.036
Sb Pb Ca
1 2 1
Cartesian
2.353 2.353 2.518
0.000 2.353 0.000
2.353 0.000 0.000
0.000 0.000 2.518

***

(2)
KIO3 | the Alexandria database | PBEsol | relaxed; formation energy from raw total energies = -93.5 kJ/mol of atoms
1.0
-0.229 3.171 3.037
-3.092 -2.213 2.207
3.053 -2.001 2.450
K O I
1 3 1
Cartesian
-0.002 -0.009 0.065
-1.532 0.337 3.096
1.256 0.433 3.206
-0.043 -2.009 2.829
-0.137 -0.532 3.920

***

(3)
LiY2Rh | the Alexandria database | PBEsol | relaxed; energy of formation = -1.5 eV per formula unit
1.0
-0.924 1.550 2.944
1.063 -2.757 1.786
6.847 3.007 0.566
Rh Y Li
1 2 1
Cartesian
3.493 0.900 2.648
1.951 0.857 0.161
4.896 2.150 0.405
0.070 -0.604 2.365

***

(4)
SrLi2Ca | the Alexandria database | PBEsol | relaxed; energy relative to the lowest polymorph listed for this composition = 179.3 meV/atom; energy of formation = 0.8 eV per formula unit
1.0
7.197 -0.020 0.000
-3.614 6.224 0.000
-1.792 -3.102 6.242
Sr Ca Li
2 2 4
Cartesian
-1.807 3.112 3.121
0.000 0.000 0.000
3.598 -0.010 3.121
1.792 3.102 0.000
-3.088 0.750 6.170
2.177 3.913 3.049
0.510 0.740 3.192
3.984 0.801 0.071

***

(5)
BeIr3 | the Alexandria database | PBEsol | relaxed; energy of formation = -0.6 eV per formula unit
1.0
-0.574 -0.110 -2.642
-1.339 -1.580 1.742
-5.525 5.743 0.962
Be Ir
1 3
Cartesian
0.000 0.000 0.000
-2.308 0.183 0.494
-2.763 2.872 0.481
-5.385 3.381 1.030

***

(6)
TaAlRu2 | the Alexandria database | PBEsol | relaxed; energy of formation = -1.7 eV per formula unit
1.0
3.121 0.000 0.000
0.000 4.173 -0.362
-1.561 -2.017 4.616
Ru Al Ta
2 1 1
Cartesian
1.561 -0.073 2.250
1.561 -1.899 4.564
0.000 2.019 2.103
0.000 0.163 4.389

***

(7)
NaNiAg2 | the Alexandria database | PBEsol | relaxed; energy of formation = 1.2 eV per formula unit
1.0
4.467 0.000 0.000
2.233 3.868 0.000
2.233 1.289 3.647
Na Ag Ni
1 2 1
Cartesian
0.000 0.000 0.000
2.233 1.289 0.912
6.700 3.868 2.735
4.467 2.579 1.824

***

(8)
DyIn6Cu6 | the Alexandria database | PBEsol | relaxed; energy of formation = -2.3 eV per formula unit
1.0
5.333 0.000 0.000
2.666 6.433 0.013
2.666 0.041 6.433
Cu In Dy
6 6 1
Cartesian
1.333 3.216 0.006
3.999 0.020 3.216
3.999 3.216 0.006
5.333 1.553 4.914
5.333 4.921 1.531
1.333 0.020 3.216
2.666 1.170 1.165
5.333 4.260 4.242
2.666 2.193 4.271
7.999 5.304 5.281
5.333 2.213 2.204
2.666 4.281 2.174
0.000 0.000 0.000

***

| no. | total magnetic moment (μB per cell) | density of states at the Fermi level (states/eV/f.u.) |
| --- | --- | --- |
| 1 | 0.00 | 2.6 |
| 2 | 0.00 | 0.0 |
| 3 | 0.00 | 3.7 |
| 4 | 0.00 | 3.1 |
| 5 | 0.00 | 3.3 |
| 6 | 0.00 | 2.3 |
| 7 | 0.00 | 1.7 |
| 8 | 0.00 | 3.2 |